The following is a PBE calculation of crystalline Mn2AlSe at its relaxed geometry, from the Alexandria database.

Geometry as POSCAR:
```
Mn2AlSe
1.0
0.0000 2.9345 2.9345
2.9345 0.0000 2.9345
2.9345 2.9345 0.0000
Mn Se Al
2 1 1
Direct
0.7500 0.7500 0.7500 Mn
0.2500 0.2500 0.2500 Mn
0.5000 0.5000 0.5000 Se
0.0000 0.0000 0.0000 Al
```

Theoretical density = 7091 kg/m³
E_tot = -6.18 eV/atom
SG = Fm-3m, No. 225
Total moment = 0.94 μB per formula unit
ΔE_f (raw) = 214 meV per atom

The following is a PBE calculation of crystalline ZrAl4Cu at its relaxed geometry, from the Alexandria database.

Geometry as POSCAR:
```
ZrAl4Cu
1.0
3.9093 0.0000 0.0000
0.0000 6.5971 0.0000
0.0000 0.0000 7.7383
Al Cu Zr
8 2 2
Direct
0.0000 0.0000 0.0000 Al
0.0000 0.0000 0.5000 Al
0.5000 0.9475 0.2500 Al
0.5000 0.3176 0.4400 Al
0.5000 0.3176 0.0600 Al
0.5000 0.0525 0.7500 Al
0.5000 0.6824 0.9400 Al
0.5000 0.6824 0.5600 Al
0.0000 0.2105 0.2500 Cu
0.0000 0.7895 0.7500 Cu
0.0000 0.6293 0.2500 Zr
0.0000 0.3707 0.7500 Zr
```

Theoretical density = 4372 kg/m³
E_tot = -4.83 eV/atom
SG = Pmma, No. 51
Total moment = 0.00 μB per formula unit
E_form = -0.23 eV per atom